Model a:
Density functional theory data (GGA-PBE) for a relaxed structure of ZnS2N.

Structure (extended XYZ):
```
4
Lattice="-3.896 -1.770 -0.432 -3.278 1.403 2.405 -3.192 2.242 -1.812" Properties=species:S:1:pos:R:3 pbc="T T T"
Zn -5.183 0.937 0.081
S -2.591 0.469 0.040
S -7.774 1.406 0.121
N 0.000 0.000 0.000
```

Computed properties:
Size of the total moment in μB per formula unit: 1.413
SG: No. 225
Volume in Å³ per cell: 56.3



Model b:
Density functional theory data (GGA-PBE) for a relaxed structure of ZnS2N.

Structure (extended XYZ):
```
8
Lattice="-0.593 -1.873 4.421 -3.299 -3.078 -1.746 2.158 -6.274 0.279" Properties=species:S:1:pos:R:3 pbc="T T T"
Zn 0.000 0.000 0.000
Zn -0.190 -5.311 3.019
S -0.205 -3.003 2.329
S -1.635 -3.847 -0.183
S -0.054 -6.760 1.100
S -1.574 -8.838 2.663
N -1.946 -2.475 1.338
N -1.544 -5.913 -0.065
```

Computed properties:
Size of the total moment in μB per formula unit: 0.000
SG: No. 122
Volume in Å³ per cell: 133.2



Model c:
Density functional theory data (GGA-PBE) for a relaxed structure of ZnS2N.

Structure (extended XYZ):
```
4
Lattice="-0.105 5.628 2.348 -1.223 3.171 5.064 2.500 3.575 4.262" Properties=species:S:1:pos:R:3 pbc="T T T"
Zn 0.586 6.187 5.837
S 1.064 11.241 10.604
S 0.107 1.134 1.069
N 0.000 0.000 0.000
```

Computed properties:
Size of the total moment in μB per formula unit: 0.000
SG: No. 166
Volume in Å³ per cell: 72.2



model c ends up most stable, edging out the next structure by 0.327 eV/atom.